w) HfPdSe3 | the Alexandria database | PBE | relaxed; total magnetization = 0.56 μB per cell; space-group type = Pm-3m (221); calculated volume = 27.09 A^3/atom
1.0
5.135 0.000 0.000
0.000 5.135 0.000
0.000 0.000 5.135
Hf Pd Se
1 1 3
direct
0.000 0.000 0.000
0.500 0.500 0.500
0.000 0.000 0.500
0.000 0.500 0.000
0.500 0.000 0.000


x) HfPdSe3 | the Alexandria database | PBE | relaxed; total magnetization = 0.00 μB per cell; space-group type = Pm-3m (221); calculated volume = 22.89 A^3/atom
1.0
4.855 0.000 0.000
0.000 4.855 0.000
0.000 0.000 4.855
Hf Pd Se
1 1 3
direct
0.000 0.000 0.000
0.500 0.500 0.500
0.000 0.500 0.500
0.500 0.000 0.500
0.500 0.500 0.000


Least stable of them? x).


w) HfSiPd3 | the Alexandria database | PBE | relaxed; total magnetization = 0.00 μB per cell; space-group type = Pm-3m (221); calculated volume = 23.15 A^3/atom
1.0
4.874 0.000 0.000
0.000 4.874 0.000
0.000 0.000 4.874
Hf Si Pd
1 1 3
direct
0.000 0.000 0.000
0.500 0.500 0.500
0.000 0.000 0.500
0.000 0.500 0.000
0.500 0.000 0.000


x) HfSiPd3 | the Alexandria database | PBE | relaxed; total magnetization = 0.00 μB per cell; space-group type = Pm-3m (221); calculated volume = 18.21 A^3/atom
1.0
4.499 0.000 0.000
0.000 4.499 0.000
0.000 0.000 4.499
Hf Si Pd
1 1 3
direct
0.000 0.000 0.000
0.500 0.500 0.500
0.000 0.500 0.500
0.500 0.000 0.500
0.500 0.500 0.000


Least stable of them? w).


w) HfSnPd3 | the Alexandria database | PBE | relaxed; total magnetization = 0.00 μB per cell; space-group type = C2/m (12); calculated volume = 17.74 A^3/atom
1.0
6.968 -2.401 0.000
6.968 2.401 0.000
-2.120 0.000 5.303
Hf Sn Pd
2 2 6
direct
0.092 0.092 0.380
0.908 0.908 0.620
0.317 0.317 0.840
0.683 0.683 0.160
0.123 0.123 0.888
0.304 0.304 0.340
0.499 0.499 0.253
0.501 0.501 0.747
0.696 0.696 0.660
0.877 0.877 0.112


x) HfSnPd3 | the Alexandria database | PBE | relaxed; total magnetization = 0.00 μB per cell; space-group type = Pm-3m (221); calculated volume = 23.91 A^3/atom
1.0
4.926 0.000 0.000
0.000 4.926 0.000
0.000 0.000 4.926
Hf Sn Pd
1 1 3
direct
0.000 0.000 0.000
0.500 0.500 0.500
0.000 0.000 0.500
0.000 0.500 0.000
0.500 0.000 0.000


Least stable of them? x).


w) Hf4Sn2Pd | the Alexandria database | PBE | relaxed; total magnetization = 0.00 μB per cell; space-group type = C2/m (12); calculated volume = 22.11 A^3/atom
1.0
7.318 -1.611 0.000
7.318 1.611 0.000
-3.744 0.000 6.567
Hf Sn Pd
4 2 1
direct
0.086 0.086 0.223
0.386 0.386 0.111
0.614 0.614 0.889
0.914 0.914 0.777
0.214 0.214 0.684
0.786 0.786 0.316
0.000 0.000 0.500


x) Hf4Sn2Pd | the Alexandria database | PBE | relaxed; total magnetization = 0.00 μB per cell; space-group type = I4/mmm (139); calculated volume = 25.56 A^3/atom
1.0
-2.430 2.430 7.574
2.430 -2.430 7.574
2.430 2.430 -7.574
Hf Sn Pd
4 2 1
direct
0.000 0.500 0.500
0.172 0.172 0.000
0.500 0.000 0.500
0.828 0.828 0.000
0.363 0.363 0.000
0.637 0.637 0.000
0.000 0.000 0.000


Least stable of them? x).


w) HfSn3Pd | the Alexandria database | PBE | relaxed; total magnetization = 0.00 μB per cell; space-group type = Pm-3m (221); calculated volume = 32.71 A^3/atom
1.0
5.469 0.000 0.000
0.000 5.469 0.000
0.000 0.000 5.469
Hf Sn Pd
1 3 1
direct
0.000 0.000 0.000
0.000 0.000 0.500
0.000 0.500 0.000
0.500 0.000 0.000
0.500 0.500 0.500


x) HfSn3Pd | the Alexandria database | PBE | relaxed; total magnetization = 0.00 μB per cell; space-group type = Pm-3m (221); calculated volume = 27.08 A^3/atom
1.0
5.135 0.000 0.000
0.000 5.135 0.000
0.000 0.000 5.135
Hf Sn Pd
1 3 1
direct
0.000 0.000 0.000
0.000 0.500 0.500
0.500 0.000 0.500
0.500 0.500 0.000
0.500 0.500 0.500


Least stable of them? w).


w) Hf3SnPd | the Alexandria database | PBE | relaxed; total magnetization = 0.00 μB per cell; space-group type = C2/m (12); calculated volume = 21.05 A^3/atom
1.0
5.656 -1.634 0.000
5.656 1.634 0.000
-3.365 0.000 11.386
Hf Sn Pd
6 2 2
direct
0.055 0.055 0.383
0.131 0.131 0.969
0.330 0.330 0.240
0.670 0.670 0.760
0.869 0.869 0.031
0.945 0.945 0.617
0.416 0.416 0.823
0.584 0.584 0.177
0.221 0.221 0.593
0.779 0.779 0.407


x) Hf3SnPd | the Alexandria database | PBE | relaxed; total magnetization = 0.00 μB per cell; space-group type = Pm-3m (221); calculated volume = 25.07 A^3/atom
1.0
5.005 0.000 0.000
0.000 5.005 0.000
0.000 0.000 5.005
Hf Sn Pd
3 1 1
direct
0.000 0.000 0.500
0.000 0.500 0.000
0.500 0.000 0.000
0.500 0.500 0.500
0.000 0.000 0.000


Least stable of them? x).